Computed, not measured: crystalline BiSbH at its relaxed geometry at the PBE-GGA level of DFT.

Geometry as extended XYZ:
```
3
Lattice="-2.2424 2.2424 3.6542 2.2424 -2.2424 3.6542 2.2424 2.2424 -3.6542" Properties=species:S:1:pos:R:3 pbc="T T T"
Bi 0.0000 0.0000 0.0000
Sb 0.0000 0.0000 4.0481
H 0.0000 0.0000 2.1149
```

- energy above the most stable polymorph in this dataset (eV/atom) = 0.027
- symmetry = I4mm

***

Computed, not measured: crystalline LiAgP at its relaxed geometry at the PBE-GGA level of DFT.

Geometry as extended XYZ:
```
3
Lattice="4.3072 0.0000 0.0000 -2.1536 3.7301 0.0000 0.0000 0.0000 3.0335" Properties=species:S:1:pos:R:3 pbc="T T T"
Li 0.0000 0.0000 0.0000
Ag 2.1536 1.2434 1.5106
P 0.0000 2.4868 1.5097
```

- energy above the most stable polymorph in this dataset (eV/atom) = 0.040
- ΔE_f (eV/atom) = -0.222
- symmetry = P3m1

***

Computed, not measured: crystalline La2CrSe at its relaxed geometry at the PBE-GGA level of DFT.

Geometry as extended XYZ:
```
4
Lattice="0.0000 3.6833 3.6833 3.6833 0.0000 3.6833 3.6833 3.6833 0.0000" Properties=species:S:1:pos:R:3 pbc="T T T"
La 0.0000 0.0000 0.0000
La 1.8416 1.8416 1.8416
Cr 3.6833 3.6833 3.6833
Se 5.5249 5.5249 5.5249
```

- symmetry = F-43m
- raw formation energy (eV per atom) = 0.03

***

Computed, not measured: crystalline PmAgSnGe at its relaxed geometry at the PBE-GGA level of DFT.

Geometry as extended XYZ:
```
4
Lattice="0.0000 3.6126 3.6126 3.6126 0.0000 3.6126 3.6126 3.6126 0.0000" Properties=species:S:1:pos:R:3 pbc="T T T"
Pm 0.0000 0.0000 0.0000
Ag 1.8063 1.8063 1.8063
Sn 3.6126 3.6126 3.6126
Ge 5.4189 5.4189 5.4189
```

- ΔE_f (eV/atom) = -0.241
- symmetry = F-43m

***

Computed, not measured: crystalline Ca2Au3 at its relaxed geometry at the PBE-GGA level of DFT.

Geometry as extended XYZ:
```
5
Lattice="-2.1316 3.3645 4.1395 2.1316 -3.3645 4.1395 2.1316 3.3645 -4.1395" Properties=species:S:1:pos:R:3 pbc="T T T"
Ca 0.0000 0.0000 1.7924
Ca 0.0000 0.0000 6.4865
Au 2.1316 1.4073 0.0000
Au 0.0000 3.3645 0.0000
Au 0.0000 1.9572 4.1395
```

- energy above the most stable polymorph in this dataset (eV/atom) = 0.000
- ΔE_f (eV/atom) = -0.761
- symmetry = Immm

***

Computed, not measured: crystalline Rb2RhF8 at its relaxed geometry at the PBE-GGA level of DFT.

Geometry as extended XYZ:
```
11
Lattice="5.8370 -4.1970 0.0000 5.8370 4.1970 0.0000 -2.0729 0.0000 4.7246" Properties=species:S:1:pos:R:3 pbc="T T T"
Rb 1.3871 0.0000 1.4255
Rb 8.2140 0.0000 3.2991
Rh 5.8370 0.0000 0.0000
F -0.6655 0.0000 3.2973
F 2.9962 1.3444 3.5942
F 4.2504 0.0000 1.0217
F 6.6049 1.3444 1.1304
F 2.9962 -1.3444 3.5942
F 5.3507 0.0000 3.7029
F 6.6049 -1.3444 1.1304
F 10.2667 0.0000 1.4273
```

- symmetry = C2/m
- raw formation energy (eV per atom) = -1.84